Record 1
This record from Alexandria describes a relaxed Zr2TlRu crystal. The functional is PBE.

a = 5.9676 Å, b = 5.9676 Å, c = 4.7836 Å
α = 66.39°, β = 66.39°, γ = 32.43°
Fractional positions:
Ru1 0.4906 0.4906 0.5091
Tl1 0.2191 0.2191 0.2811
Zr1 0.0030 0.0030 0.9969
Zr2 0.7873 0.7873 0.7129

For the final energy, the calculation gives -7.32 eV/atom.

***

Record 2
This record from Alexandria describes a relaxed Zr2TlRu crystal. The functional is PBE.

a = 7.7724 Å, b = 7.7724 Å, c = 6.2182 Å
α = 51.32°, β = 51.32°, γ = 90.00°
Fractional positions:
Ru1 0.5000 0.5000 0.0000
Ru2 0.2500 0.7500 0.5000
Tl1 0.0000 0.0000 0.0000
Tl2 0.7500 0.2500 0.5000
Zr1 0.5727 0.1250 0.2500
Zr2 0.1773 0.6250 0.2500
Zr3 0.3750 0.4273 0.7500
Zr4 0.8750 0.8227 0.7500

For the final energy, the calculation gives -7.07 eV/atom.

***

Copy entry 2 word for word.
This record from Alexandria describes a relaxed Zr2TlRu crystal. The functional is PBE.

a = 7.7724 Å, b = 7.7724 Å, c = 6.2182 Å
α = 51.32°, β = 51.32°, γ = 90.00°
Fractional positions:
Ru1 0.5000 0.5000 0.0000
Ru2 0.2500 0.7500 0.5000
Tl1 0.0000 0.0000 0.0000
Tl2 0.7500 0.2500 0.5000
Zr1 0.5727 0.1250 0.2500
Zr2 0.1773 0.6250 0.2500
Zr3 0.3750 0.4273 0.7500
Zr4 0.8750 0.8227 0.7500

For the final energy, the calculation gives -7.07 eV/atom.